First-principles (PBE) data for a relaxed Co3ReGe crystal, as listed in Alexandria via LeMat-Bulk.

Cell lengths 4.4630, 4.4630, 4.4630 Å; angles 90.00, 90.00, 90.00 degrees
Last column: nearest neighbours and their distance in Å.
Element x y z (fractional)
Co 0.0000 0.0000 0.5000  2 Re 2.23
Co 0.0000 0.5000 0.0000  2 Re 2.23
Co 0.5000 0.0000 0.0000  2 Re 2.23
Re 0.0000 0.0000 0.0000  6 Co 2.23
Ge 0.5000 0.5000 0.5000  12 Co 3.16

Results
Final energy: -6.23 eV/atom
E above lowest polymorph: 190 meV/atom
Space-group type: Pm-3m
ΔH_f (0 K): 139.83 kJ/mol of atoms

First-principles (PBE) data for a relaxed CoReGe crystal, as listed in Alexandria via LeMat-Bulk.

Cell lengths 10.9391, 10.9391, 10.9391 Å; angles 165.36, 165.36, 20.76 degrees
Last column: nearest neighbours and their distance in Å.
Element x y z (fractional)
Co 0.1225 0.1225 0.0000  4 Ge 2.41, 4 Re 2.67
Co 0.8775 0.8775 0.0000  4 Ge 2.41, 4 Re 2.67
Re 0.2937 0.2937 0.0000  4 Co 2.67, 8 Re 2.73-2.79
Re 0.7063 0.7063 0.0000  4 Co 2.67, 8 Re 2.73-2.79
Ge 0.4418 0.4418 0.0000  4 Co 2.41, 1 Ge 2.50
Ge 0.5582 0.5582 0.0000  4 Co 2.41, 1 Ge 2.50

Results
Final energy: -8.04 eV/atom
Space-group type: I4/mmm
ΔH_f (0 K): 1.41 kJ/mol of atoms

First-principles (PBE) data for a relaxed CoRe3Ge crystal, as listed in Alexandria via LeMat-Bulk.

Cell lengths 4.4791, 4.4791, 4.4791 Å; angles 90.00, 90.00, 90.00 degrees
Last column: nearest neighbours and their distance in Å.
Element x y z (fractional)
Co 0.0000 0.0000 0.0000  12 Re 3.17
Re 0.0000 0.5000 0.5000  2 Ge 2.24
Re 0.5000 0.0000 0.5000  2 Ge 2.24
Re 0.5000 0.5000 0.0000  2 Ge 2.24
Ge 0.5000 0.5000 0.5000  6 Re 2.24

Results
Final energy: -7.69 eV/atom
E above lowest polymorph: 417 meV/atom
Space-group type: Pm-3m
ΔH_f (0 K): 204.81 kJ/mol of atoms

First-principles (PBE) data for a relaxed CoReGe2 crystal, as listed in Alexandria via LeMat-Bulk.

Cell lengths 4.2615, 4.2615, 4.2615 Å; angles 60.00, 60.00, 60.00 degrees
Last column: nearest neighbours and their distance in Å.
Element x y z (fractional)
Co 0.0000 0.0000 0.0000  8 Ge 2.61
Re 0.5000 0.5000 0.5000  8 Ge 2.61
Ge 0.2500 0.2500 0.2500  4 Re 2.61, 4 Co 2.61
Ge 0.7500 0.7500 0.7500  4 Re 2.61, 4 Co 2.61

Results
Final energy: -7.05 eV/atom
E above lowest polymorph: 0 meV/atom
Space-group type: Fm-3m
ΔH_f (0 K): 13.91 kJ/mol of atoms

First-principles (PBE) data for a relaxed CoReGeSe2 crystal, as listed in Alexandria via LeMat-Bulk.

Cell lengths 4.8332, 4.8332, 4.5996 Å; angles 90.00, 90.00, 90.00 degrees
Last column: nearest neighbours and their distance in Å.
Element x y z (fractional)
Co 0.0000 0.0000 0.0000  2 Re 2.30
Re 0.0000 0.0000 0.5000  2 Co 2.30, 4 Se 2.42
Ge 0.5000 0.5000 0.0000  8 Se 3.34, 4 Co 3.42
Se 0.0000 0.5000 0.5000  2 Re 2.42
Se 0.5000 0.0000 0.5000  2 Re 2.42

Results
Final energy: -5.37 eV/atom
Raw formation energy: 4.30 eV/f.u.
Space-group type: P4/mmm

First-principles (PBE) data for a relaxed CoRe2GeTe crystal, as listed in Alexandria via LeMat-Bulk.

Cell lengths 4.5910, 4.5910, 5.1525 Å; angles 90.00, 90.00, 90.00 degrees
Last column: nearest neighbours and their distance in Å.
Element x y z (fractional)
Co 0.0000 0.0000 0.0000  4 Te 3.25, 8 Re 3.45
Re 0.0000 0.5000 0.5000  2 Ge 2.30
Re 0.5000 0.0000 0.5000  2 Ge 2.30
Ge 0.5000 0.5000 0.5000  4 Re 2.30
Te 0.5000 0.5000 0.0000  2 Ge 2.58

Results
Final energy: -5.80 eV/atom
Raw formation energy: 10.78 eV/f.u.
Space-group type: P4/mmm

First-principles (PBE) data for a relaxed TiCoReGe crystal, as listed in Alexandria via LeMat-Bulk.

Cell lengths 4.2612, 4.2612, 4.2612 Å; angles 60.00, 60.00, 60.00 degrees
Last column: nearest neighbours and their distance in Å.
Element x y z (fractional)
Ti 0.0000 0.0000 0.0000  4 Co 2.61, 4 Re 2.61
Co 0.2500 0.2500 0.2500  4 Ge 2.61, 4 Ti 2.61
Re 0.7500 0.7500 0.7500  4 Ge 2.61, 4 Ti 2.61
Ge 0.5000 0.5000 0.5000  4 Re 2.61, 4 Co 2.61

Results
Final energy: -8.28 eV/atom
Space-group type: F-43m
ΔH_f (0 K): -25.82 kJ/mol of atoms

First-principles (PBE) data for a relaxed Co3GeRh crystal, as listed in Alexandria via LeMat-Bulk.

Cell lengths 4.5320, 4.5320, 4.5320 Å; angles 90.00, 90.00, 90.00 degrees
Last column: nearest neighbours and their distance in Å.
Element x y z (fractional)
Co 0.0000 0.0000 0.5000  2 Rh 2.27
Co 0.0000 0.5000 0.0000  2 Rh 2.27
Co 0.5000 0.0000 0.0000  2 Rh 2.27
Ge 0.5000 0.5000 0.5000  12 Co 3.20
Rh 0.0000 0.0000 0.0000  6 Co 2.27

Results
Final energy: -5.36 eV/atom
E above lowest polymorph: 293 meV/atom
Space-group type: Pm-3m
ΔH_f (0 K): 124.92 kJ/mol of atoms

First-principles (PBE) data for a relaxed CoGe2Rh crystal, as listed in Alexandria via LeMat-Bulk.

Cell lengths 4.2728, 4.2728, 4.2728 Å; angles 60.00, 60.00, 60.00 degrees
Last column: nearest neighbours and their distance in Å.
Element x y z (fractional)
Co 0.0000 0.0000 0.0000  8 Ge 2.62
Ge 0.2500 0.2500 0.2500  4 Co 2.62, 4 Rh 2.62
Ge 0.7500 0.7500 0.7500  4 Rh 2.62, 4 Co 2.62
Rh 0.5000 0.5000 0.5000  8 Ge 2.62

Results
Final energy: -6.07 eV/atom
E above lowest polymorph: 77 meV/atom
Space-group type: Fm-3m
ΔH_f (0 K): -14.31 kJ/mol of atoms

First-principles (PBE) data for a relaxed CoGeRh2 crystal, as listed in Alexandria via LeMat-Bulk.

Cell lengths 2.8622, 2.8622, 6.6538 Å; angles 90.00, 90.00, 90.00 degrees
Last column: nearest neighbours and their distance in Å.
Element x y z (fractional)
Co 0.0000 0.0000 0.0000  8 Rh 2.66, 4 Co 2.86
Ge 0.0000 0.0000 0.5000  8 Rh 2.58, 4 Ge 2.86
Rh 0.5000 0.5000 0.2587  4 Ge 2.58, 4 Co 2.66, 4 Rh 2.86
Rh 0.5000 0.5000 0.7413  4 Ge 2.58, 4 Co 2.66, 4 Rh 2.86

Results
Final energy: -6.75 eV/atom
Space-group type: P4/mmm
ΔH_f (0 K): -14.26 kJ/mol of atoms

First-principles (PBE) data for a relaxed CoGe2Rh crystal, as listed in Alexandria via LeMat-Bulk.

Cell lengths 3.0269, 3.0269, 5.9446 Å; angles 90.00, 90.00, 90.00 degrees
Last column: nearest neighbours and their distance in Å.
Element x y z (fractional)
Co 0.0000 0.0000 0.0000  8 Ge 2.56
Ge 0.5000 0.5000 0.2348  4 Co 2.56, 4 Rh 2.66, 1 Ge 2.79
Ge 0.5000 0.5000 0.7652  4 Co 2.56, 4 Rh 2.66, 1 Ge 2.79
Rh 0.0000 0.0000 0.5000  8 Ge 2.66, 2 Co 2.97

Results
Final energy: -6.09 eV/atom
E above lowest polymorph: 59 meV/atom
Space-group type: P4/mmm
ΔH_f (0 K): -16.06 kJ/mol of atoms

First-principles (PBE) data for a relaxed CoGe2Rh crystal, as listed in Alexandria via LeMat-Bulk.

Cell lengths 7.6527, 7.6527, 7.6527 Å; angles 22.14, 22.14, 22.14 degrees
Last column: nearest neighbours and their distance in Å.
Element x y z (fractional)
Co 0.0000 0.0000 0.0000  6 Ge 2.45
Ge 0.2541 0.2541 0.2541  3 Co 2.45, 3 Rh 2.59
Ge 0.7459 0.7459 0.7459  3 Co 2.45, 3 Rh 2.59
Rh 0.5000 0.5000 0.5000  6 Ge 2.59

Results
Final energy: -6.10 eV/atom
E above lowest polymorph: 52 meV/atom
Space-group type: R-3m
ΔH_f (0 K): -16.72 kJ/mol of atoms